Computed, not measured: a relaxed structure of MgSb2TeI at the PBE-GGA level of DFT.

Cell and atoms, written as CIF:
```
data_MgSb2TeI
_cell_length_a 5.5920
_cell_length_b 5.5920
_cell_length_c 5.2968
_cell_angle_alpha 90.00
_cell_angle_beta 90.00
_cell_angle_gamma 90.00
_symmetry_space_group_name_H-M 'P 1'
_symmetry_Int_Tables_number 1
loop_
_symmetry_equiv_pos_as_xyz
'x,y,z'
loop_
_atom_site_label
_atom_site_fract_x
_atom_site_fract_y
_atom_site_fract_z
Mg1 0.0000 0.0000 0.0000
Sb1 0.0000 0.5000 0.0000
Sb2 0.5000 0.0000 0.0000
Te1 0.0000 0.0000 0.5000
I1 0.5000 0.5000 0.5000
```

DOS at the Fermi energy: 5.3 states/eV per cell
ρ: 5.2 g cm⁻³
ΔE to the lowest computed polymorph: 3.2 kJ per mole of atoms
Total DFT energy (no corrections): -2.508 eV per atom
Symmetry: P4/mmm (123)